Entry 1:
Material: ReGeSN2
Method: DFT, PBE-GGA
State: optimized geometry

Lattice parameters (Å, degrees): 3.723 3.723 4.869 90.00 90.00 90.00
Last column: magnetic moment on the atom in μB.
Positions (direct):
N (0.500, 0.000, 0.000)  -0.13
N (0.000, 0.500, 0.000)  -0.13
S (0.000, 0.000, 0.500)  -0.01
Ge (0.000, 0.000, 0.000)  0.04
Re (0.500, 0.500, 0.500)  2.63

Properties
Size of the total moment ... 2.72 Bohr magnetons per cell
ΔE_f (raw) ... 1.69 eV/atom
Relative energy among the computed polymorphs ... 1.2410 eV/atom
Symmetry ... P4/mmm, No. 123

***

Entry 2:
Material: ReGeSeN2
Method: DFT, PBE-GGA
State: optimized geometry

Lattice parameters (Å, degrees): 3.664 3.664 6.396 90.00 90.00 90.00
Last column: magnetic moment on the atom in μB.
Positions (direct):
N (0.000, 0.500, 0.000)  0.18
N (0.500, 0.000, 0.000)  0.18
Se (0.000, 0.000, 0.500)  0.03
Ge (0.000, 0.000, 0.000)  0.00
Re (0.500, 0.500, 0.500)  2.88

Properties
Size of the total moment ... 3.94 Bohr magnetons per cell
ΔE_f (raw) ... 1.73 eV/atom
Relative energy among the computed polymorphs ... 1.2464 eV/atom
Symmetry ... P4/mmm, No. 123

***

Entry 3:
Material: ReGeSeN2
Method: DFT, PBE-GGA
State: optimized geometry

Lattice parameters (Å, degrees): 3.881 3.881 5.388 90.00 90.00 90.00
Positions (direct):
Se (0.000, 0.000, 0.500)
Ge (0.500, 0.500, 0.500)
N (0.000, 0.500, 0.000)
N (0.500, 0.000, 0.000)
Re (0.000, 0.000, 0.000)

Properties
Size of the total moment ... 0.00 Bohr magnetons per cell
ΔE_f (raw) ... 0.49 eV/atom
Relative energy among the computed polymorphs ... 0.0000 eV/atom
Symmetry ... P4/mmm, No. 123

***

Entry 4:
Material: ReGeTe2N
Method: DFT, PBE-GGA
State: optimized geometry

Lattice parameters (Å, degrees): 5.503 5.503 3.449 90.00 90.00 90.00
Last column: magnetic moment on the atom in μB.
Positions (direct):
Te (0.000, 0.500, 0.000)  -0.08
Te (0.500, 0.000, 0.000)  -0.08
N (0.000, 0.000, 0.500)  0.04
Re (0.500, 0.500, 0.500)  2.26
Ge (0.000, 0.000, 0.000)  0.02

Properties
Size of the total moment ... 2.57 Bohr magnetons per cell
ΔE_f (raw) ... 1.38 eV/atom
Relative energy among the computed polymorphs ... 0.9855 eV/atom
Symmetry ... P4/mmm, No. 123

***

Entry 5:
Material: ReGeTeN2
Method: DFT, PBE-GGA
State: optimized geometry

Lattice parameters (Å, degrees): 3.939 3.939 5.673 90.00 90.00 90.00
Last column: magnetic moment on the atom in μB.
Positions (direct):
N (0.500, 0.000, 0.000)  0.06
N (0.000, 0.500, 0.000)  0.06
Te (0.000, 0.000, 0.500)  0.00
Re (0.000, 0.000, 0.000)  -0.04
Ge (0.500, 0.500, 0.500)  -0.01

Properties
Size of the total moment ... 0.09 Bohr magnetons per cell
ΔE_f (raw) ... 0.63 eV/atom
Relative energy among the computed polymorphs ... 0.0000 eV/atom
Symmetry ... P4/mmm, No. 123

***

Entry 6:
Material: ReGeTe2N
Method: DFT, PBE-GGA
State: optimized geometry

Lattice parameters (Å, degrees): 5.461 5.461 3.734 90.00 90.00 90.00
Positions (direct):
Te (0.000, 0.500, 0.000)
Te (0.500, 0.000, 0.000)
N (0.000, 0.000, 0.500)
Re (0.000, 0.000, 0.000)
Ge (0.500, 0.500, 0.500)

Properties
Size of the total moment ... 0.00 Bohr magnetons per cell
ΔE_f (raw) ... 0.39 eV/atom
Relative energy among the computed polymorphs ... 0.0000 eV/atom
Symmetry ... P4/mmm, No. 123

***

Entry 7:
Material: ReGeTeN2
Method: DFT, PBE-GGA
State: optimized geometry

Lattice parameters (Å, degrees): 3.752 6.984 3.752 90.00 90.00 90.00
Last column: magnetic moment on the atom in μB.
Positions (direct):
Ge (0.000, 0.000, 0.000)  -0.01
Te (0.000, 0.500, 0.000)  0.00
N (0.500, 0.000, 0.000)  0.22
N (0.000, 0.000, 0.500)  0.14
Re (0.500, 0.500, 0.500)  2.20

Properties
Size of the total moment ... 3.15 Bohr magnetons per cell
ΔE_f (raw) ... 1.86 eV/atom
Relative energy among the computed polymorphs ... 1.2307 eV/atom
Symmetry ... P4/mmm, No. 123

***

Entry 8:
Material: VReGeN2
Method: DFT, PBE-GGA
State: optimized geometry

Lattice parameters (Å, degrees): 3.723 4.868 3.723 90.00 90.00 90.00
Positions (direct):
N (0.000, 0.000, 0.500)
N (0.500, 0.000, 0.000)
Ge (0.000, 0.000, 0.000)
Re (0.500, 0.500, 0.500)
V (0.000, 0.500, 0.000)

Properties
Size of the total moment ... 0.00 Bohr magnetons per cell
ΔE_f (raw) ... 2.02 eV/atom
Symmetry ... P4/mmm, No. 123

***

Entry 9:
Material: VRe2GeN
Method: DFT, PBE-GGA
State: optimized geometry

Lattice parameters (Å, degrees): 4.529 4.462 4.529 90.00 90.00 90.00
Positions (direct):
Re (0.500, 0.000, 0.000)
Re (0.000, 0.000, 0.500)
Ge (0.000, 0.000, 0.000)
N (0.500, 0.500, 0.500)
V (0.000, 0.500, 0.000)

Properties
Size of the total moment ... 0.00 Bohr magnetons per cell
ΔE_f (raw) ... 2.74 eV/atom
Symmetry ... P4/mmm, No. 123

***

Entry 10:
Material: Ge2RhN
Method: DFT, PBE-GGA
State: optimized geometry

Lattice parameters (Å, degrees): 5.543 5.543 5.500 59.74 59.74 90.00
Positions (direct):
Ge (0.564, 0.125, 0.250)
Ge (0.186, 0.625, 0.250)
Ge (0.875, 0.814, 0.750)
Ge (0.375, 0.436, 0.750)
N (0.250, 0.750, 0.500)
N (0.500, 0.500, 0.000)
Rh (0.750, 0.250, 0.500)
Rh (0.000, 0.000, 0.000)

Properties
Size of the total moment ... 0.00 Bohr magnetons per cell
ΔE_f (raw) ... 0.00 eV/atom
Symmetry ... I-42d, No. 122

***

Entry 11:
Material: GeRhN3
Method: DFT, PBE-GGA
State: optimized geometry

Lattice parameters (Å, degrees): 3.745 3.745 3.745 90.00 90.00 90.00
Positions (direct):
N (0.500, 0.000, 0.000)
N (0.000, 0.000, 0.500)
N (0.000, 0.500, 0.000)
Rh (0.500, 0.500, 0.500)
Ge (0.000, 0.000, 0.000)

Properties
Size of the total moment ... 0.00 Bohr magnetons per cell
ΔE_f (raw) ... 1.60 eV/atom
Symmetry ... Pm-3m, No. 221

***

Entry 12:
Material: Ge3RhN
Method: DFT, PBE-GGA
State: optimized geometry

Lattice parameters (Å, degrees): 4.218 4.218 4.218 90.00 90.00 90.00
Positions (direct):
Ge (0.000, 0.500, 0.000)
Ge (0.500, 0.000, 0.000)
Ge (0.000, 0.000, 0.500)
Rh (0.500, 0.500, 0.500)
N (0.000, 0.000, 0.000)

Properties
Size of the total moment ... 0.00 Bohr magnetons per cell
ΔE_f (raw) ... 0.57 eV/atom
Relative energy among the computed polymorphs ... 0.0000 eV/atom
Symmetry ... Pm-3m, No. 221

***

Q: Which formula does entry 12 have?
A: Ge3RhN